A relaxed structure of YBOs2. Source: the Open Quantum Materials Database, functional PBE-GGA.

Computed properties:
- Electronic total energy: -32.34 eV per cell
- Space group: F-43m (216)
- Theoretical density: 12.9 Mg/m³
- Volume: 62 Å³/cell

abc: 4.434 4.434 4.434
angles: 60.00 60.00 60.00
Site moments in Bohr magnetons follow the coordinates.
Fractional coordinates of all 4 atoms:
Y: 0.250 0.250 0.250  0.03
Os: 0.000 0.000 0.000  0.49
Os: 0.750 0.750 0.750  0.17
B: 0.500 0.500 0.500  0.04